[1]
Material: BeAlIn2
Method: DFT, PBE
State: optimized geometry Values from VASP.

Values from the calculation:
The formation energy is 430 meV/atom. The value obtained for the polymorph energy (0 for the lowest one) is 139 meV per atom.

Geometry as Quantum ESPRESSO input:
```
&SYSTEM
  ibrav = 0, nat = 4, ntyp = 3
/
ATOMIC_SPECIES
Be 9.01 Be.upf
Al 26.98 Al.upf
In 114.82 In.upf
ATOMIC_POSITIONS crystal
Be 0.0000 0.0000 0.0000
Al 0.0000 0.0000 0.5000
In 0.4064 0.5000 0.2355
In 0.5936 0.5000 0.7645
CELL_PARAMETERS angstrom
3.3246 0.0000 0.0000
0.0000 4.0710 0.0000
-0.9464 0.0000 5.9067
```

---

[2]
Material: Be2Sn2I
Method: DFT, PBE
State: optimized geometry Values from VASP.

Values from the calculation:
The formation energy from raw total energies is 2.90 eV/f.u. The value obtained for the polymorph energy (0 for the lowest one) is 33 meV per atom.

Geometry as Quantum ESPRESSO input:
```
&SYSTEM
  ibrav = 0, nat = 5, ntyp = 3
/
ATOMIC_SPECIES
Be 9.01 Be.upf
Sn 118.71 Sn.upf
I 126.90 I.upf
ATOMIC_POSITIONS crystal
Be 0.1026 0.1026 0.0000
Be 0.8974 0.8974 0.0000
Sn 0.2500 0.7500 0.5000
Sn 0.7500 0.2500 0.5000
I 0.5000 0.5000 0.0000
CELL_PARAMETERS angstrom
-2.2664 2.2664 5.4523
2.2664 -2.2664 5.4523
2.2664 2.2664 -5.4523
```

---

[3]
Material: PdNO2F
Method: DFT, PBE
State: optimized geometry Values from VASP.

Values from the calculation:
The formation energy from raw total energies is 4.86 eV/f.u.

Geometry as Quantum ESPRESSO input:
```
&SYSTEM
  ibrav = 0, nat = 5, ntyp = 4
/
ATOMIC_SPECIES
Pd 106.42 Pd.upf
N 14.01 N.upf
O 16.00 O.upf
F 19.00 F.upf
ATOMIC_POSITIONS crystal
Pd 0.0000 0.0000 0.0000
N 0.5000 0.5000 0.5000
O 0.0000 0.5000 0.0000
O 0.5000 0.0000 0.0000
F 0.0000 0.0000 0.5000
CELL_PARAMETERS angstrom
3.9339 0.0000 0.0000
0.0000 3.9339 0.0000
0.0000 0.0000 4.2116
```

---

[4]
Material: CsSiPbF6
Method: DFT, PBE
State: optimized geometry Values from VASP.

Values from the calculation:
The formation energy from raw total energies is -24.19 eV/f.u.

Geometry as Quantum ESPRESSO input:
```
&SYSTEM
  ibrav = 0, nat = 9, ntyp = 4
/
ATOMIC_SPECIES
Cs 132.91 Cs.upf
Si 28.09 Si.upf
Pb 207.20 Pb.upf
F 19.00 F.upf
ATOMIC_POSITIONS crystal
Cs 0.0000 0.0000 0.0000
Si 0.3330 0.6670 0.5000
Pb 0.6660 0.3340 0.5000
F 0.1065 0.4418 0.3149
F 0.1118 0.6669 0.6899
F 0.3331 0.8882 0.3101
F 0.3352 0.4476 0.6903
F 0.5524 0.6648 0.3097
F 0.5582 0.8935 0.6851
CELL_PARAMETERS angstrom
3.1806 -5.5618 0.0000
3.1806 5.5618 0.0000
-0.0047 0.0000 5.1375
```

---

[5]
Material: Sb2TeBrF
Method: DFT, PBE
State: optimized geometry Values from VASP.

Values from the calculation:
The formation energy from raw total energies is 0.46 eV/f.u. The value obtained for the polymorph energy (0 for the lowest one) is 0 meV per atom.

Geometry as Quantum ESPRESSO input:
```
&SYSTEM
  ibrav = 0, nat = 5, ntyp = 4
/
ATOMIC_SPECIES
Sb 121.76 Sb.upf
Te 127.60 Te.upf
Br 79.90 Br.upf
F 19.00 F.upf
ATOMIC_POSITIONS crystal
Sb 0.0000 0.5000 0.0000
Sb 0.5000 0.0000 0.0000
Te 0.0000 0.0000 0.5000
Br 0.5000 0.5000 0.5000
F 0.0000 0.0000 0.0000
CELL_PARAMETERS angstrom
5.1849 0.0000 0.0000
0.0000 5.1849 0.0000
0.0000 0.0000 4.8323
```

---

[6]
Material: V2IrWN
Method: DFT, PBE
State: optimized geometry Values from VASP.

Values from the calculation:
The formation energy from raw total energies is -2.63 eV/f.u.

Geometry as Quantum ESPRESSO input:
```
&SYSTEM
  ibrav = 0, nat = 5, ntyp = 4
/
ATOMIC_SPECIES
V 50.94 V.upf
Ir 192.22 Ir.upf
W 183.84 W.upf
N 14.01 N.upf
ATOMIC_POSITIONS crystal
V 0.0000 0.5000 0.0000
V 0.5000 0.0000 0.0000
Ir 0.0000 0.0000 0.5000
W 0.5000 0.5000 0.5000
N 0.5000 0.5000 0.0000
CELL_PARAMETERS angstrom
3.9457 0.0000 0.0000
0.0000 3.9457 0.0000
0.0000 0.0000 4.0671
```

---

Calculated density of states at the Fermi level in order - 1.3 3.8 3.2 1.3 3.5 3.5 states/eV/cell